The following is a PBE with a Hubbard U calculation of CrCdHgF6 after structural relaxation, from the Alexandria database.

Properties
Electronic total energy   -4.28 eV/atom
Fermi-level density of states   5.768 states/eV/cell
Total magnetization   5.84 μB/cell

a = 5.869 Å, b = 5.869 Å, c = 9.073 Å
α = 90.00°, β = 90.00°, γ = 120.00°
Last column: magnetic moment on the atom in μB.
Positions (direct):
F  0.623  0.702  0.624  -0.01
Hg  0.667  0.333  0.750  -0.04
F  0.921  0.298  0.124  -0.01
Cr  0.667  0.333  0.250  2.94
F  0.377  0.079  0.124  -0.01
F  0.623  0.921  0.876  -0.01
Cr  0.333  0.667  0.750  2.94
F  0.702  0.623  0.124  -0.01
F  0.298  0.377  0.876  -0.01
F  0.298  0.921  0.624  -0.01
F  0.702  0.079  0.376  -0.01
F  0.079  0.702  0.876  -0.01
Cd  0.000  0.000  0.500  0.00
F  0.377  0.298  0.376  -0.01
F  0.079  0.377  0.624  -0.01
Cd  0.000  0.000  0.000  0.00
F  0.921  0.623  0.376  -0.01
Hg  0.333  0.667  0.250  -0.04